An optimized crystal structure of Sc2CdP. Source: the Alexandria database, functional GGA-PBE.

Lattice parameters (Å, degrees): 8.2368 8.2368 8.2368 26.09 26.09 26.09
Each line ends with the local moment (μB).
Fractional positions:
Sc  0.9758  0.9758  0.9758  0.09
Sc  0.7540  0.7540  0.7540  0.16
Cd  0.5168  0.5168  0.5168  0.00
P  0.2534  0.2534  0.2534  -0.01

Properties
Raw total energy in eV/atom: -4.989
M_tot in μB/f.u.: 0.5
Relative energy among the computed polymorphs in meV per atom: 583
Energy of formation from the pure elements in meV/atom: -242.0
Crystal system: trigonal